Compound: Ta2MoC
Source: Alexandria
Functional: PBE
Structure: optimized geometry

Output
Mass density in Mg/m³: 13.6
Formation energy in eV per atom: 0.291
Magnetic moment in μB per formula unit: 0.0

Cell: 2.767 2.767 7.467 Å, 90.00 90.00 90.00°
Fractional positions:
Ta 0.000 0.000 0.182
Ta 0.000 0.000 0.818
Mo 0.500 0.500 0.500
C 0.500 0.500 0.000